Crystalline LiAcZnSb at its relaxed geometry, computed with GGA-PBE.

- crystal system = cubic
- Fermi-level density of states (states/eV/atom) = 0.753
- mass density (g/cm³) = 6.40
- spin magnetization (μB per formula unit) = 0.0
- E_form (uncorrected) (meV/atom) = -439
- calculated total energy (eV/atom) = -3.2936

Geometry as CIF:
```
data_LiAcZnSb
_cell_length_a 5.367
_cell_length_b 5.367
_cell_length_c 5.367
_cell_angle_alpha 60.00
_cell_angle_beta 60.00
_cell_angle_gamma 60.00
_symmetry_space_group_name_H-M 'P 1'
_symmetry_Int_Tables_number 1
_symmetry_space_group_name_Hall 'P 1'
loop_
_atom_site_label
_atom_site_fract_x
_atom_site_fract_y
_atom_site_fract_z
Zn1 0.000 0.000 0.000
Ac1 0.250 0.250 0.250
Li1 0.750 0.750 0.750
Sb1 0.500 0.500 0.500
```